Rb2Au3S2 after structural relaxation. Source: Alexandria, functional PBE-GGA.

Calculated values
E_form (uncorrected) = -0.4278 eV/atom
symmetry = P2/m, No. 10

Cell lengths 3.9634, 5.5668, 10.0435 Å; angles 90.00, 101.13, 90.00 degrees
Last column: nearest neighbours and their distance in Å.
Sites, in units of the cell vectors:
Rb (0.1095, 0.0000, 0.2125)  2 Au 3.37, 4 S 3.43
Rb (0.8905, 0.0000, 0.7875)  2 Au 3.37, 4 S 3.43
Au (0.2037, 0.5000, 0.4056)  2 S 2.56-2.57, 2 Au 2.72
Au (0.5000, 0.5000, 0.0000)  2 S 2.37
Au (0.7963, 0.5000, 0.5944)  2 S 2.56-2.57, 2 Au 2.72
S (0.3780, 0.5000, 0.7599)  3 Au 2.37-2.57
S (0.6220, 0.5000, 0.2401)  3 Au 2.37-2.57


ZrAlCr2 after structural relaxation. Source: Alexandria, functional PBE-GGA.

Calculated values
formation energy = -0.43 eV per formula unit
symmetry = P4mm, No. 99

Cell lengths 3.0036, 3.0036, 6.8663 Å; angles 90.00, 90.00, 90.00 degrees
Last column: nearest neighbours and their distance in Å.
Sites, in units of the cell vectors:
Zr (0.0000, 0.0000, 0.0000)  5 Cr 2.89-3.14, 4 Zr 3.00, 4 Al 3.01
Al (0.5000, 0.5000, 0.3111)  5 Cr 2.65-2.76
Cr (0.0000, 0.0000, 0.5423)  4 Cr 2.43, 4 Al 2.65
Cr (0.5000, 0.5000, 0.7135)  4 Cr 2.43


CaSnBr after structural relaxation. Source: Alexandria, functional PBE-GGA.

Calculated values
E_form (uncorrected) = -1.2036 eV/atom
symmetry = R-3m, No. 166

Cell lengths 12.1718, 12.1718, 12.1718 Å; angles 20.93, 20.93, 20.93 degrees
Last column: nearest neighbours and their distance in Å.
Sites, in units of the cell vectors:
Ca (0.0767, 0.0767, 0.0767)  3 Br 2.94, 3 Sn 3.28
Ca (0.9233, 0.9233, 0.9233)  3 Br 2.94, 3 Sn 3.28
Sn (0.3522, 0.3522, 0.3522)  3 Sn 2.89
Sn (0.6478, 0.6478, 0.6478)  3 Sn 2.89
Br (0.2157, 0.2157, 0.2157)  3 Ca 2.94
Br (0.7843, 0.7843, 0.7843)  3 Ca 2.94


Which formula does entry 1 have?
Rb2Au3S2